No. 1
Density functional theory data (PBE-GGA) for a geometry-optimized SmHo9Sc2 structure.

Cell lengths 4.9408, 4.9408, 14.7917 Å; angles 90.00, 90.00, 90.00 degrees
Fractional coordinates of all 12 atoms:
1 Ho 0.5000 0.0000 0.8277
2 Ho 0.0000 0.5000 0.8277
3 Ho 0.5000 0.0000 0.5000
4 Ho 0.5000 0.5000 0.3370
5 Ho 0.5000 0.5000 0.0000
6 Ho 0.0000 0.5000 0.5000
7 Ho 0.0000 0.5000 0.1723
8 Ho 0.5000 0.0000 0.1723
9 Ho 0.5000 0.5000 0.6630
10 Sm 0.0000 0.0000 0.0000
11 Sc 0.0000 0.0000 0.3358
12 Sc 0.0000 0.0000 0.6642

Symmetry: P4/mmm (123)
Electronic total energy, eV for the cell shown: -58.13

---

No. 2
Density functional theory data (PBE-GGA) for a geometry-optimized Sm6HoSc2 structure.

Cell lengths 6.2333, 10.5353, 10.5353 Å; angles 83.92, 65.50, 65.50 degrees
Fractional coordinates of all 18 atoms:
1 Sm 0.0947 0.5616 0.3283
2 Sm 0.7572 0.9328 0.8455
3 Sm 0.5947 0.3283 0.5616
4 Sm 0.9053 0.4384 0.6717
5 Sm 0.1917 0.0086 0.5753
6 Sm 0.6917 0.5753 0.0086
7 Sm 0.8083 0.9914 0.4247
8 Sm 0.2572 0.8455 0.9328
9 Sm 0.2428 0.0672 0.1545
10 Sm 0.4053 0.6717 0.4384
11 Sm 0.3083 0.4247 0.9914
12 Sm 0.7428 0.1545 0.0672
13 Ho 0.7500 0.8183 0.1817
14 Ho 0.2500 0.1817 0.8183
15 Sc 0.3022 0.2432 0.3705
16 Sc 0.1978 0.6295 0.7568
17 Sc 0.6978 0.7568 0.6295
18 Sc 0.8022 0.3705 0.2432

Symmetry: C2/c (15)
Electronic total energy, eV for the cell shown: -87.30

---

Number 1: V 30.09 A^3/atom, N(E_F) 1.54 states/eV/atom. Number 2: V 31.73 A^3/atom, N(E_F) 1.40 states/eV/atom.